K5PtSeO2 | PBE | relaxed

a = 5.372 Å, b = 5.372 Å, c = 9.084 Å
α = 90.00°, β = 90.00°, γ = 90.00°
Last column: magnetic moment on the atom in μB.
Fractional coordinates of all 9 atoms:
Se: 0.500 0.500 0.500  0.00
K: 0.000 0.500 0.760  0.00
K: 0.000 0.000 0.500  0.00
Pt: 0.000 0.000 0.000  0.52
O: 0.000 0.000 0.215  0.20
K: 0.500 0.000 0.760  0.00
K: 0.500 0.000 0.240  0.00
K: 0.000 0.500 0.240  0.00
O: 0.000 0.000 0.785  0.20

Values from the calculation:
- E (eV per atom) = -3.818
- symmetry = P4/mmm
- energy relative to the elements, uncorrected (eV/atom) = -1.05

---

KPtSeO6 | PBE | relaxed

a = 5.102 Å, b = 5.102 Å, c = 6.100 Å
α = 90.00°, β = 90.00°, γ = 60.00°
Last column: magnetic moment on the atom in μB.
Fractional coordinates of all 9 atoms:
O: 0.023 0.363 0.326  0.09
Se: 0.333 0.333 0.500  -0.01
O: 0.614 0.023 0.326  0.09
O: 0.363 0.023 0.674  0.09
O: 0.614 0.363 0.674  0.09
K: 0.000 0.000 0.000  0.00
Pt: 0.667 0.667 0.500  0.28
O: 0.023 0.615 0.674  0.09
O: 0.363 0.615 0.326  0.09

Values from the calculation:
- E (eV per atom) = -5.254
- symmetry = P312
- energy relative to the elements, uncorrected (eV/atom) = -0.77

---

K2SiPtO4 | PBE | relaxed

a = 5.381 Å, b = 5.381 Å, c = 5.381 Å
α = 106.30°, β = 111.08°, γ = 111.08°
Fractional coordinates of all 8 atoms:
K: 0.000 0.000 0.000
Pt: 0.500 0.250 0.750
O: 0.072 0.230 0.534
O: 0.928 0.462 0.159
O: 0.304 0.841 0.770
K: 0.500 0.750 0.250
Si: 0.000 0.500 0.500
O: 0.696 0.466 0.538

Values from the calculation:
- E (eV per atom) = -5.794
- symmetry = I-4
- energy relative to the elements, uncorrected (eV/atom) = -1.61

---

KSmPtO4 | PBE | relaxed

a = 6.604 Å, b = 6.816 Å, c = 7.323 Å
α = 122.49°, β = 90.00°, γ = 118.98°
Fractional coordinates of all 14 atoms:
O: 0.750 0.500 0.676
O: 0.745 0.058 0.279
K: 0.135 0.270 0.885
O: 0.255 0.942 0.721
O: 0.313 0.058 0.279
Pt: 0.500 0.500 0.500
Pt: 0.000 0.500 0.500
K: 0.865 0.730 0.115
O: 0.250 0.500 0.324
O: 0.250 0.500 0.677
Sm: 0.500 0.000 0.000
O: 0.687 0.942 0.721
Sm: 0.500 0.000 0.500
O: 0.750 0.500 0.323

Values from the calculation:
- E (eV per atom) = -6.239
- symmetry = Imma
- energy relative to the elements, uncorrected (eV/atom) = -1.71